The following is a DFT calculation (PBE) of an optimized crystal structure of Be2SiAu2.

The structure in extended XYZ format:
```
10
Lattice="7.1261 0.0000 0.0000 0.0000 7.1261 0.0000 0.0000 0.0000 2.7877" Properties=species:S:1:pos:R:3 pbc="T T T"
Au 5.8972 2.3342 1.3939
Au 4.7919 5.8972 1.3939
Be 6.2813 4.4079 0.0000
Au 2.3342 1.2289 1.3939
Be 4.4079 0.8448 0.0000
Si 3.5631 3.5631 0.0000
Au 1.2289 4.7919 1.3939
Be 0.8448 2.7182 0.0000
Si 0.0000 0.0000 0.0000
Be 2.7182 6.2813 0.0000
```

Properties
ΔE_f (raw) ... 0.158 eV per atom
Density of states at the Fermi level ... 0.27 states/eV per atom
Volume ... 141.6 Å³/cell
Crystal system ... tetragonal
SG ... P4/mbm
E above lowest polymorph ... 0.51 eV/f.u.

The following is a DFT calculation (PBE) of an optimized crystal structure of BeSi2Au.

The structure in extended XYZ format:
```
4
Lattice="-0.6005 -4.6678 -3.6467 -2.5085 -5.3471 0.7504 -0.0507 5.9528 -0.0975" Properties=species:S:1:pos:R:3 pbc="T T T"
Be -2.0568 -2.2009 -0.3976
Si -1.3808 -4.4480 -1.2864
Au -1.1028 -1.8612 -2.5962
Si -0.1737 -0.5594 -0.1618
```

Properties
ΔE_f (raw) ... 0.258 eV per atom
Density of states at the Fermi level ... 0.27 states/eV per atom
Volume ... 59.1 Å³/cell
Crystal system ... orthorhombic
SG ... Immm

The following is a DFT calculation (PBE) of an optimized crystal structure of Be2SiAu2.

The structure in extended XYZ format:
```
5
Lattice="-3.3176 -0.1394 -0.7998 0.5471 -2.8698 -1.7693 -2.4736 -4.8556 3.8144" Properties=species:S:1:pos:R:3 pbc="T T T"
Be -1.6559 -4.6150 0.3803
Si 0.0000 0.0000 0.0000
Au -1.6413 -2.2931 -0.0847
Be -3.5882 -3.2498 0.8651
Au -3.6028 -5.5717 1.3301
```

Properties
ΔE_f (raw) ... 0.057 eV per atom
Density of states at the Fermi level ... 0.26 states/eV per atom
Volume ... 72.3 Å³/cell
Crystal system ... tetragonal
SG ... I4/mmm
E above lowest polymorph ... 0.00 eV/f.u.

The following is a DFT calculation (PBE) of an optimized crystal structure of BeSi2Au.

The structure in extended XYZ format:
```
4
Lattice="-1.3784 2.0130 -2.3520 -0.6791 -2.7122 -1.9234 -4.7081 -0.4840 2.3449" Properties=species:S:1:pos:R:3 pbc="T T T"
Au -2.7903 -0.2869 1.3897
Si -0.2846 -0.0293 0.1417
Si -1.9401 -0.4433 -1.6838
Be -4.1047 -0.6658 -0.6057
```

Properties
ΔE_f (raw) ... 0.273 eV per atom
Density of states at the Fermi level ... 0.40 states/eV per atom
Volume ... 60.7 Å³/cell
Crystal system ... tetragonal
SG ... P4mm

The following is a DFT calculation (PBE) of an optimized crystal structure of BeSi3Au.

The structure in extended XYZ format:
```
5
Lattice="-3.2604 -0.6081 3.5358 -2.9790 -2.2037 -3.1260 1.9993 -4.2751 1.1084" Properties=species:S:1:pos:R:3 pbc="T T T"
Si 0.9997 -2.1375 0.5542
Au 0.0000 0.0000 0.0000
Be -2.1200 -3.5434 0.7591
Si -1.4895 -1.1018 -1.5630
Si -1.6302 -0.3040 1.7679
```

Properties
ΔE_f (raw) ... 1.369 eV per atom
Density of states at the Fermi level ... 0.80 states/eV per atom
Volume ... 113.9 Å³/cell
Crystal system ... cubic
SG ... Pm-3m
E above lowest polymorph ... 3.63 eV/f.u.

The following is a DFT calculation (PBE) of an optimized crystal structure of BeSi2Au.

The structure in extended XYZ format:
```
4
Lattice="3.0231 -0.0249 0.0000 -1.8164 2.4167 0.0000 0.0000 0.0000 8.4721" Properties=species:S:1:pos:R:3 pbc="T T T"
Be 0.6034 1.1959 6.3541
Au 0.6034 1.1959 2.1180
Si 0.0000 0.0000 4.4509
Si 0.0000 0.0000 8.2573
```

Properties
ΔE_f (raw) ... 0.444 eV per atom
Density of states at the Fermi level ... 0.22 states/eV per atom
Volume ... 61.5 Å³/cell
Crystal system ... orthorhombic
SG ... Cmmm